Density functional theory data (GGA+U) for a geometry-optimized HfCrOF2 structure.

a = 4.3039 Å, b = 4.3039 Å, c = 4.0328 Å
α = 90.00°, β = 90.00°, γ = 90.00°
Last column: nearest neighbours and their distance in Å.
Element x y z (fractional)
Hf  0.0000  0.0000  0.0000  2 O 2.02, 4 F 2.15
F  0.5000  0.0000  0.0000  2 Hf 2.15
O  0.0000  0.0000  0.5000  2 Hf 2.02
Cr  0.5000  0.5000  0.5000  8 F 2.95, 4 O 3.04
F  0.0000  0.5000  0.0000  2 Hf 2.15

**Calculated density**: 6324 kg/m³
**Magnetization**: 5.30 Bohr magnetons per cell
**DOS(E_F)**: 1.90 states/eV/f.u.
**Total DFT energy (no corrections)**: -0.2748 Ha/atom
**Distance to the lowest polymorph of the same formula**: 0.000 eV/atom